(1)
Entry from Alexandria: a relaxed structure of CuAuI2 (GGA-PBE).

a b c (Å): 5.2606 5.2606 5.2606
angles (deg): 60.00 60.00 60.00
Fractional positions:
Cu: 0.0000 0.0000 0.0000
Au: 0.5000 0.5000 0.5000
I: 0.2500 0.2500 0.2500
I: 0.7500 0.7500 0.7500

Summary:
Theoretical density: 8.296 g cm⁻³

***

(2)
Entry from Alexandria: a relaxed structure of Cu2Au2I7 (GGA-PBE).

a b c (Å): 9.7629 9.7629 7.6003
angles (deg): 90.13 90.13 131.55
Fractional positions:
Cu: 0.1879 0.1879 0.0161
Cu: 0.8121 0.8121 0.9839
Au: 0.2496 0.7504 0.5000
Au: 0.7504 0.2496 0.5000
I: 0.0012 0.5016 0.7479
I: 0.0153 0.0153 0.7351
I: 0.4984 0.9988 0.2521
I: 0.5000 0.5000 0.0000
I: 0.5016 0.0012 0.7479
I: 0.9847 0.9847 0.2649
I: 0.9988 0.4984 0.2521

Summary:
Theoretical density: 4.317 g cm⁻³

***

(3)
Entry from Alexandria: a relaxed structure of CuAuI3 (GGA-PBE).

a b c (Å): 13.0227 13.0227 7.2279
angles (deg): 90.00 90.00 162.17
Fractional positions:
Cu: 0.1973 0.8027 0.5000
Cu: 0.8027 0.1973 0.0000
Au: 0.4149 0.5851 0.5468
Au: 0.5851 0.4149 0.0468
I: 0.0518 0.9482 0.8342
I: 0.2713 0.7287 0.2173
I: 0.3675 0.6325 0.8679
I: 0.6325 0.3675 0.3679
I: 0.7287 0.2713 0.7173
I: 0.9482 0.0518 0.3342

Summary:
Theoretical density: 5.675 g cm⁻³

***

| no. | energy above the most stable polymorph in this dataset (eV/atom) |
| --- | --- |
| 1 | 0.650 |
| 2 | 0.039 |
| 3 | 0.045 |